[1]
IrSN: relaxed, GGA-PBE.

a = 3.4932 Å, b = 3.4932 Å, c = 11.0227 Å
α = 90.00°, β = 90.00°, γ = 120.00°
Space group R3m (No. 160, hexagonal axes)
Asymmetric unit:
Ir (0.0000, 0.0000, 0.0000) [3 per cell]
S (0.0000, 0.0000, 0.4280) [3 per cell]
N (0.0000, 0.0000, 0.5776) [3 per cell]

Properties
Electronic total energy (eV per formula unit): -20.78
Crystal system: trigonal
Energy above the most stable polymorph in this dataset (meV/atom): 0
DOS(E_F) (states/eV per atom): 0.000
Uncorrected formation energy (eV per atom): 0.178

=====

[2]
GdHfFeCo: relaxed, GGA-PBE.

a = 6.490 Å, b = 6.490 Å, c = 6.490 Å
α = 90.00°, β = 90.00°, γ = 90.00°
Space group F-43m (No. 216)
Asymmetric unit:
Gd (0.000, 0.000, 0.000) [4 per cell]
Hf (0.000, 0.000, 0.500) [4 per cell]
Fe (0.250, 0.250, 0.750) [4 per cell]
Co (0.250, 0.250, 0.250) [4 per cell]

Properties
Electronic total energy (eV per formula unit): -39.90
Crystal system: cubic
DOS(E_F) (states/eV per atom): 0.388

=====

What is the formula in the second record?
GdHfFeCo

=====

Among the records above, which one has the lowest electronic total energy?
GdHfFeCo

=====

Which of these has the lowest DOS(E_F)?
IrSN

=====

Repeat the first record exactly.
IrSN: relaxed, GGA-PBE.

a = 3.4932 Å, b = 3.4932 Å, c = 11.0227 Å
α = 90.00°, β = 90.00°, γ = 120.00°
Space group R3m (No. 160, hexagonal axes)
Asymmetric unit:
Ir (0.0000, 0.0000, 0.0000) [3 per cell]
S (0.0000, 0.0000, 0.4280) [3 per cell]
N (0.0000, 0.0000, 0.5776) [3 per cell]

Properties
Electronic total energy (eV per formula unit): -20.78
Crystal system: trigonal
Energy above the most stable polymorph in this dataset (meV/atom): 0
DOS(E_F) (states/eV per atom): 0.000
Uncorrected formation energy (eV per atom): 0.178